1.
Compound: CaNb2ZnS
Source: Alexandria
Functional: GGA-PBE
Structure: relaxed

For the formation energy without anion corrections, the calculation gives 0.05 eV per atom. As for the uncorrected energy: -0.401 Ry/atom.

The structure belongs to space group P4/mmm (No. 123); the cell edges are 4.616, 4.616 and 5.146 Å and the angles 90.00°, 90.00° and 90.00°. The inequivalent atoms are Ca at (0.000, 0.000, 0.000), Nb at (0.000, 0.500, 0.500), Zn at (0.500, 0.500, 0.000) and S at (0.000, 0.000, 0.500).

=====

2.
Compound: CaNb3Sb
Source: Alexandria
Functional: GGA-PBE
Structure: relaxed

For the formation energy without anion corrections, the calculation gives 1.14 eV per atom. The value obtained for the energy above the most stable polymorph in this dataset is 0.000 eV/atom. As for the uncorrected energy: -0.451 Ry/atom.

The structure belongs to space group Pm-3m (No. 221); the cell edges are 5.149, 5.149 and 5.149 Å and the angles 90.00°, 90.00° and 90.00°. The inequivalent atoms are Ca at (0.000, 0.000, 0.000), Nb at (0.000, 0.500, 0.500) and Sb at (0.500, 0.500, 0.500).

=====

3.
Compound: CaNbSb2
Source: Alexandria
Functional: GGA-PBE
Structure: relaxed

For the formation energy without anion corrections, the calculation gives -0.41 eV per atom. The value obtained for the energy above the most stable polymorph in this dataset is 0.000 eV/atom. As for the uncorrected energy: -0.404 Ry/atom.

The structure belongs to space group P4/mmm (No. 123); the cell edges are 3.528, 3.528 and 7.685 Å and the angles 90.00°, 90.00° and 90.00°. The inequivalent atoms are Ca at (0.000, 0.000, 0.000), Nb at (0.000, 0.000, 0.500) and Sb at (0.500, 0.500, 0.289).

=====

4.
Compound: CaNbSb3
Source: Alexandria
Functional: GGA-PBE
Structure: relaxed

For the formation energy without anion corrections, the calculation gives -0.03 eV per atom. The value obtained for the energy above the most stable polymorph in this dataset is 0.000 eV/atom. As for the uncorrected energy: -0.361 Ry/atom.

The structure belongs to space group Pm-3m (No. 221); the cell edges are 5.411, 5.411 and 5.411 Å and the angles 90.00°, 90.00° and 90.00°. The inequivalent atoms are Ca at (0.000, 0.000, 0.000), Nb at (0.500, 0.500, 0.500) and Sb at (0.000, 0.500, 0.500).

=====

5.
Compound: Ca2Nb2Sb
Source: Alexandria
Functional: GGA-PBE
Structure: relaxed

For the formation energy without anion corrections, the calculation gives 0.90 eV per atom. The value obtained for the energy above the most stable polymorph in this dataset is 0.793 eV/atom. As for the uncorrected energy: -0.349 Ry/atom.

The structure belongs to space group P4/mbm (No. 127); the cell edges are 7.802, 7.802 and 3.983 Å and the angles 90.00°, 90.00° and 90.00°. The inequivalent atoms are Ca at (0.136, 0.364, 0.000), Nb at (0.173, 0.673, 0.500) and Sb at (0.000, 0.000, 0.000).

=====

6.
Compound: CaNbSb2
Source: Alexandria
Functional: GGA-PBE
Structure: relaxed

For the formation energy without anion corrections, the calculation gives -0.09 eV per atom. The value obtained for the energy above the most stable polymorph in this dataset is 0.321 eV/atom. As for the uncorrected energy: -0.380 Ry/atom.

The structure belongs to space group I-42d (No. 122); the cell edges are 7.966, 7.966 and 6.866 Å and the angles 90.00°, 90.00° and 90.00°. The inequivalent atoms are Ca at (0.000, 0.000, 0.000), Nb at (0.000, 0.000, 0.500) and Sb at (0.218, 0.250, 0.625).

=====

7.
Compound: CaNb3Sb
Source: Alexandria
Functional: GGA-PBE
Structure: relaxed

For the formation energy without anion corrections, the calculation gives 1.98 eV per atom. The value obtained for the energy above the most stable polymorph in this dataset is 0.848 eV/atom. As for the uncorrected energy: -0.388 Ry/atom.

The structure belongs to space group Pm-3m (No. 221); the cell edges are 4.816, 4.816 and 4.816 Å and the angles 90.00°, 90.00° and 90.00°. The inequivalent atoms are Ca at (0.000, 0.000, 0.000), Nb at (0.000, 0.000, 0.500) and Sb at (0.500, 0.500, 0.500).

=====

8.
Compound: CaNb2Sb
Source: Alexandria
Functional: GGA-PBE
Structure: relaxed

For the formation energy without anion corrections, the calculation gives 0.56 eV per atom. As for the uncorrected energy: -0.442 Ry/atom.

The structure belongs to space group I-42d (No. 122); the cell edges are 8.248, 8.248 and 5.724 Å and the angles 90.00°, 90.00° and 90.00°. The inequivalent atoms are Ca at (0.000, 0.000, 0.000), Nb at (0.205, 0.250, 0.625) and Sb at (0.000, 0.000, 0.500).

=====

9.
Compound: CaNbSb2
Source: Alexandria
Functional: GGA-PBE
Structure: relaxed

For the formation energy without anion corrections, the calculation gives -0.22 eV per atom. The value obtained for the energy above the most stable polymorph in this dataset is 0.192 eV/atom. As for the uncorrected energy: -0.390 Ry/atom.

The structure belongs to space group Fm-3m (No. 225); the cell edges are 7.256, 7.256 and 7.256 Å and the angles 90.00°, 90.00° and 90.00°. The inequivalent atoms are Ca at (0.000, 0.000, 0.000), Nb at (0.000, 0.000, 0.500) and Sb at (0.250, 0.250, 0.250).

=====

10.
Compound: Ca2Nb2Sb
Source: Alexandria
Functional: GGA-PBE
Structure: relaxed

For the formation energy without anion corrections, the calculation gives 0.11 eV per atom. The value obtained for the energy above the most stable polymorph in this dataset is 0.000 eV/atom. As for the uncorrected energy: -0.408 Ry/atom.

The structure belongs to space group I4/mmm (No. 139); the cell edges are 3.698, 3.698 and 20.304 Å and the angles 90.00°, 90.00° and 90.00°. The inequivalent atoms are Ca at (0.000, 0.000, 0.101), Nb at (0.000, 0.500, 0.250) and Sb at (0.000, 0.000, 0.500).

=====

11.
Compound: Ca2NbSb2
Source: Alexandria
Functional: GGA-PBE
Structure: relaxed

For the formation energy without anion corrections, the calculation gives -0.47 eV per atom. As for the uncorrected energy: -0.362 Ry/atom.

The structure belongs to space group P4/mbm (No. 127); the cell edges are 7.562, 7.562 and 4.642 Å and the angles 90.00°, 90.00° and 90.00°. The inequivalent atoms are Ca at (0.164, 0.336, 0.000), Nb at (0.000, 0.000, 0.500) and Sb at (0.150, 0.650, 0.500).

=====

12.
Compound: CaNbSbTe2
Source: Alexandria
Functional: GGA-PBE
Structure: relaxed

For the formation energy without anion corrections, the calculation gives -0.22 eV per atom. The value obtained for the energy above the most stable polymorph in this dataset is 0.000 eV/atom. As for the uncorrected energy: -0.346 Ry/atom.

The structure belongs to space group P4/mmm (No. 123); the cell edges are 5.527, 5.527 and 5.346 Å and the angles 90.00°, 90.00° and 90.00°. The inequivalent atoms are Ca at (0.000, 0.000, 0.000), Nb at (0.500, 0.500, 0.500), Sb at (0.500, 0.500, 0.000) and Te at (0.000, 0.500, 0.500).